Entry 1:
# Cs3LaBi2O6

A relaxed structure of Cs3LaBi2O6 (PBE, Alexandria).

Results
energy relative to the elements, uncorrected: -1.79 eV/atom
total magnetization: 0.00 Bohr magnetons per cell

```
Cs3LaBi2O6
1.0
6.6002 0.0000 0.0000
-3.3001 5.7160 0.0000
0.0000 0.0000 8.0004
Cs La Bi O
3 1 2 6
Cartesian
0.0000 3.8106 5.2356
3.3001 1.9053 2.7648
0.0000 0.0000 0.0000
0.0000 0.0000 4.0002
3.3001 1.9053 6.4145
0.0000 3.8106 1.5859
1.6008 4.7348 2.5634
0.0000 1.9622 2.5634
-1.6008 4.7348 2.5634
3.3001 3.7537 5.4370
1.6993 0.9811 5.4370
4.9009 0.9811 5.4370
```

***

Entry 2:
# Cs2RhCl6

A relaxed structure of Cs2RhCl6 (PBE, Alexandria).

Results
energy relative to the elements, uncorrected: -1.13 eV/atom
total magnetization: 2.14 Bohr magnetons per cell

```
Cs2RhCl6
1.0
7.1124 0.0000 0.0000
0.0000 7.1124 0.0000
0.0000 0.0000 14.1237
Cs Rh Cl
4 2 12
Cartesian
0.0000 0.0000 4.7300
3.5562 3.5562 11.7918
3.5562 3.5562 2.3319
0.0000 0.0000 9.3938
0.0000 0.0000 0.0000
3.5562 3.5562 7.0619
2.3868 2.3868 5.3836
4.7256 4.7256 5.3836
1.1694 5.9430 12.4455
5.9430 1.1694 12.4455
1.1694 5.9430 1.6782
5.9430 1.1694 1.6782
2.3868 2.3868 8.7401
4.7256 4.7256 8.7401
1.6507 1.6507 0.0000
5.4617 5.4617 0.0000
1.9055 5.2069 7.0619
5.2069 1.9055 7.0619
```

***

Entry 3:
# KRu2Br

A relaxed structure of KRu2Br (PBE, Alexandria).

Results
energy relative to the elements, uncorrected: 0.72 eV/atom
total magnetization: 3.84 Bohr magnetons per cell

```
KRu2Br
1.0
6.2146 -0.1398 0.0233
2.2225 5.8053 -0.0233
-3.1957 -4.3561 3.0747
Br K Ru
1 1 2
Cartesian
4.7557 3.1934 0.0000
1.7195 2.2060 1.5257
7.7275 5.1891 0.0000
3.6944 -0.7807 1.5490
```

***

Entry 4:
# Sr3TlPb4

A relaxed structure of Sr3TlPb4 (PBE, Alexandria).

Results
total magnetization: 0.00 Bohr magnetons per cell
E_form: -0.340 eV per atom

```
Sr3TlPb4
1.0
4.6774 -0.0729 0.5968
-0.0753 4.8138 1.1651
0.5023 -0.4688 12.6365
Pb Sr Tl
4 3 1
Cartesian
0.7801 2.5259 10.8166
4.3243 1.7462 3.5818
1.2183 3.2325 7.8922
3.8861 1.0395 6.5062
3.2595 0.2722 9.7545
1.8448 3.9998 4.6440
2.3010 2.3704 0.8809
0.0000 0.0000 0.0000
```

***

Entry 5:
# LiCu2PO4

A relaxed structure of LiCu2PO4 (PBE, Alexandria).

Results
energy relative to the elements, uncorrected: -1.50 eV/atom
total magnetization: 0.00 Bohr magnetons per cell

```
LiCu2PO4
1.0
-2.7320 -4.1892 -0.9675
3.6528 -3.1064 3.1357
-3.3336 1.0394 4.9131
Li Cu P O
2 4 2 8
Cartesian
-1.0408 -4.7778 0.3045
-0.3584 -2.9997 4.0889
-1.6489 -5.7333 5.3984
-3.2388 -1.2424 3.8532
-1.3540 -1.8301 1.0753
-0.2001 -6.1850 3.2632
1.4221 -3.5756 1.7214
-2.7874 -4.1498 2.6840
2.2652 -2.3078 2.0252
0.1897 -3.2571 0.8178
-1.0342 -3.5824 5.8613
-4.2403 -3.9863 3.2533
-1.9653 -2.8642 2.9699
-2.1671 -5.4069 3.3709
-2.8071 -4.4332 1.1410
0.8662 -4.1749 3.0606
```

***

Entry 6:
# KTaAg

A relaxed structure of KTaAg (PBE, Alexandria).

Results
total magnetization: 3.02 Bohr magnetons per cell
E_form: 1.743 eV per atom

```
KTaAg
1.0
5.0089 0.0000 0.0000
2.5045 4.3379 0.0000
2.5045 1.4460 4.0898
Ag K Ta
1 1 1
Cartesian
7.5134 4.3379 3.0673
0.0000 0.0000 0.0000
5.0089 2.8919 2.0449
```

***

Entry 7:
# HfTlZn3

A relaxed structure of HfTlZn3 (PBE, Alexandria).

Results
total magnetization: 1.31 Bohr magnetons per cell
E_form: 0.812 eV per atom

```
HfTlZn3
1.0
5.3207 0.0000 0.0000
0.0000 5.3207 0.0000
0.0000 0.0000 5.3207
Tl Hf Zn
1 1 3
Cartesian
2.6604 2.6604 2.6604
0.0000 0.0000 0.0000
0.0000 2.6604 0.0000
0.0000 0.0000 2.6604
2.6604 0.0000 0.0000
```

***

Entry 8:
# NaEu2

A relaxed structure of NaEu2 (PBE, Alexandria).

Results
total magnetization: 31.00 Bohr magnetons per cell
E_form: 0.252 eV per atom

```
NaEu2
1.0
7.2894 0.0000 0.0000
3.6447 6.3128 0.0000
3.6447 2.1043 5.9517
Eu Na
4 2
Cartesian
5.4670 5.2606 3.7198
7.2894 2.1043 3.7198
9.1117 5.2606 3.7198
7.2894 4.2085 0.7440
0.0000 0.0000 0.0000
3.6447 2.1043 1.4879
```

***

Entry 9:
# DyY2Mg

A relaxed structure of DyY2Mg (PBE, Alexandria).

Results
total magnetization: 0.00 Bohr magnetons per cell
E_form: -0.035 eV per atom

```
DyY2Mg
1.0
-2.2052 -2.7063 0.9170
2.3306 -2.3736 -1.4006
4.2053 -0.6705 8.1339
Y Mg Dy
2 1 1
Cartesian
3.2247 -0.5142 6.2374
0.9805 -0.1563 1.8966
0.0627 -2.5400 -0.2418
2.1654 -2.8752 3.8252
```

***

Entry 10:
# LaY2Zr

A relaxed structure of LaY2Zr (PBE, Alexandria).

Results
total magnetization: 0.00 Bohr magnetons per cell
E_form: 0.216 eV per atom

```
LaY2Zr
1.0
0.0000 3.9367 3.9367
3.9367 0.0000 3.9367
3.9367 3.9367 0.0000
Y Zr La
2 1 1
Cartesian
1.9683 1.9683 1.9683
5.9050 5.9050 5.9050
0.0000 0.0000 0.0000
3.9367 3.9367 3.9367
```

***

Entry 11:
# Li6CaCu6

A relaxed structure of Li6CaCu6 (PBE, Alexandria).

Results
total magnetization: 0.00 Bohr magnetons per cell
E_form: -0.076 eV per atom

```
Li6CaCu6
1.0
4.5984 0.0000 1.8380
2.2852 6.3086 0.9540
-0.0419 -0.1133 6.7761
Li Ca Cu
6 1 6
Cartesian
3.0822 3.9884 5.6313
3.7595 2.2069 3.9369
0.7598 2.0990 4.7705
1.4835 4.0963 2.9597
1.8182 1.2652 2.1223
5.0235 4.9301 7.4458
0.0000 0.0000 0.0000
1.1426 3.1543 0.4770
3.4418 3.1543 1.3960
-0.0209 -0.0566 3.3881
2.2783 -0.0566 4.3071
4.0562 4.8510 3.1945
2.7855 1.3443 6.3737
```

***

Entry 12:
# DyMgBeCd

A relaxed structure of DyMgBeCd (PBE, Alexandria).

Results
total magnetization: 0.00 Bohr magnetons per cell
E_form: -0.029 eV per atom

```
DyMgBeCd
1.0
-0.7883 1.9716 -4.3743
-4.0218 -1.1313 -2.4877
-3.5139 3.3110 -0.5769
Be Mg Cd Dy
1 1 1 1
Cartesian
-2.0810 1.0378 -1.8597
0.0000 0.0000 0.0000
-6.2429 3.1135 -5.5791
-4.1619 2.0757 -3.7194
```